This record from Alexandria via LeMat-Bulk describes TlTeAs2Se after structural relaxation. The functional is GGA-PBEsol.

```
data_TlTeAs2Se
_chemical_formula_sum 'Tl1 Te1 As2 Se1'
_symmetry_space_group_name_H-M 'P 4/m m m'
_symmetry_Int_Tables_number 123
_symmetry_space_group_name_Hall '-P 4 2'
_cell_length_a 5.258
_cell_length_b 5.258
_cell_length_c 5.123
_cell_angle_alpha 90.00
_cell_angle_beta 90.00
_cell_angle_gamma 90.00
loop_
_atom_site_label
_atom_site_fract_x
_atom_site_fract_y
_atom_site_fract_z
Tl1 0.000 0.000 0.000
Te1 0.500 0.500 0.500
As1 0.000 0.500 0.000
Se1 0.000 0.000 0.500
```

Summary:
DFT total energy = -3.06 eV/atom
Crystal system = tetragonal
Magnetization = 0.00 μB/cell
Raw formation energy = 22.8 kcal/mol of atoms